Record 1
{
  "formula": "Ta2CoNi",
  "functional": "GGA-PBEsol",
  "state": "relaxed",
  "cell": [[-1.4841, 2.4230, 1.1172], [-2.3546, -1.7906, 0.7556], [2.4526, -0.9661, 5.3534]],
  "species": ["Ni", "Co", "Ta", "Ta"],
  "frac_coords": [[0.5000, 0.5000, 0.5000], [0.5000, 0.5000, 0.0000], [0.0000, 0.0000, 0.7535], [0.0000, 0.0000, 0.2465]],
  "rho_g_cm3": 14.32,
  "spacegroup": "P4/mmm (123)",
  "formation_energy_ev_per_atom": -0.09
}

=====

Record 2
{
  "formula": "TlBiCl3",
  "functional": "GGA-PBEsol",
  "state": "relaxed",
  "cell": [[-2.5750, -4.8381, 0.7945], [4.5589, -2.6929, -1.6227], [1.8040, -0.1005, 5.2349]],
  "species": ["Tl", "Bi", "Cl", "Cl", "Cl"],
  "frac_coords": [[0.5000, 0.5000, 0.5000], [0.0000, 0.0000, 0.0000], [0.0000, 0.5000, 0.0000], [0.0000, 0.0000, 0.5000], [0.5000, 0.0000, 0.0000]],
  "rho_g_cm3": 5.08,
  "spacegroup": "Pm-3m (221)",
  "total_energy_ev_per_atom": -3.247
}

=====

Record 3
{
  "formula": "YAs2Pb",
  "functional": "GGA-PBEsol",
  "state": "relaxed",
  "cell": [[3.8166, 0.0000, 0.0000], [0.0000, 3.8166, 0.0000], [0.0000, 0.0000, 6.2997]],
  "species": ["Pb", "Y", "As", "As"],
  "frac_coords": [[0.5000, 0.5000, 0.0000], [0.5000, 0.5000, 0.5000], [0.0000, 0.0000, 0.7122], [0.0000, 0.0000, 0.2878]],
  "rho_g_cm3": 8.07,
  "spacegroup": "P4/mmm (123)",
  "formation_energy_ev_per_atom": -0.61
}

=====

Record 4
{
  "formula": "BaNbAl2",
  "functional": "GGA-PBEsol",
  "state": "relaxed",
  "cell": [[5.0486, 0.0000, 0.0000], [2.5243, 4.3722, 0.0000], [2.5243, 1.4574, 4.1222]],
  "species": ["Nb", "Ba", "Al", "Al"],
  "frac_coords": [[0.0000, 0.0000, 0.0000], [0.5000, 0.5000, 0.5000], [0.2500, 0.2500, 0.2500], [0.7500, 0.7500, 0.7500]],
  "rho_g_cm3": 5.19,
  "spacegroup": "Fm-3m (225)",
  "formation_energy_ev_per_atom": 0.49
}

=====

Record 5
{
  "formula": "RbMgCr3",
  "functional": "GGA-PBEsol",
  "state": "relaxed",
  "cell": [[-4.2741, -0.4492, 3.1492], [-0.5507, -5.0904, -1.4735], [3.1330, -1.5075, 4.0371]],
  "species": ["Cr", "Cr", "Cr", "Mg", "Rb"],
  "frac_coords": [[0.0000, 0.5000, 0.0000], [0.0000, 0.0000, 0.5000], [0.5000, 0.0000, 0.0000], [0.0000, 0.0000, 0.0000], [0.5000, 0.5000, 0.5000]],
  "rho_g_cm3": 2.92,
  "spacegroup": "Pm-3m (221)",
  "formation_energy_ev_per_atom": 1.74
}

=====

Record 6
{
  "formula": "LiReRu2",
  "functional": "GGA-PBEsol",
  "state": "relaxed",
  "cell": [[-1.6622, -0.6737, -2.1965], [2.3401, -3.6224, -0.6599], [-2.8564, 0.0579, 3.9744]],
  "species": ["Li", "Re", "Ru", "Ru"],
  "frac_coords": [[0.5000, 0.0000, 0.0000], [0.0000, 0.5000, 0.0000], [0.7603, 0.7603, 0.5206], [0.2397, 0.2397, 0.4794]],
  "rho_g_cm3": 12.80,
  "spacegroup": "Immm (71)",
  "formation_energy_ev_per_atom": 0.30
}

=====

Record 7
{
  "formula": "BaAlAs",
  "functional": "GGA-PBEsol",
  "state": "relaxed",
  "cell": [[-2.1446, 2.8024, 0.9180], [0.5069, -0.7679, 3.5283], [5.4427, 2.4889, -2.1243]],
  "species": ["As", "Ba", "Al"],
  "frac_coords": [[0.3747, 0.3747, 0.7494], [0.6684, 0.6684, 0.3368], [0.9569, 0.9569, 0.9138]],
  "rho_g_cm3": 5.15,
  "spacegroup": "I4mm (107)",
  "formation_energy_ev_per_atom": -0.45
}

=====

Record 8
{
  "formula": "Mg2ScSb",
  "functional": "GGA-PBEsol",
  "state": "relaxed",
  "cell": [[3.3452, 0.0000, 0.0000], [0.0000, 5.5202, 0.0053], [0.0000, -2.3637, 4.9885]],
  "species": ["Mg", "Mg", "Sb", "Sc"],
  "frac_coords": [[0.0000, 0.5000, 0.0000], [0.0000, 0.0000, 0.5000], [0.5000, 0.0000, 0.0000], [0.5000, 0.5000, 0.5000]],
  "rho_g_cm3": 3.88,
  "spacegroup": "Cmmm (65)",
  "total_energy_ev_per_atom": -3.879
}

=====

Record 9
{
  "formula": "MnReAs2",
  "functional": "GGA-PBEsol",
  "state": "relaxed",
  "cell": [[2.8147, 0.0000, 0.0000], [1.4074, 2.4376, 0.0000], [1.4074, 0.8125, 9.5947]],
  "species": ["As", "As", "Mn", "Re"],
  "frac_coords": [[0.9793, 0.9793, 0.0622], [0.7748, 0.7748, 0.6755], [0.5054, 0.5054, 0.4838], [0.2405, 0.2405, 0.2785]],
  "rho_g_cm3": 9.86,
  "spacegroup": "R3m (160)",
  "formation_energy_ev_per_atom": 0.14
}

=====

Record 10
{
  "formula": "GaPd2",
  "functional": "GGA-PBEsol",
  "state": "relaxed",
  "cell": [[-1.5747, -3.6402, 0.7711], [2.1502, -1.9120, -4.6350], [6.4587, -1.9857, 3.8153]],
  "species": ["Ga", "Ga", "Ga", "Ga", "Pd", "Pd", "Pd", "Pd", "Pd", "Pd", "Pd", "Pd"],
  "frac_coords": [[0.2500, 0.2989, 0.1067], [0.7500, 0.7011, 0.8933], [0.2500, 0.7989, 0.3933], [0.7500, 0.2011, 0.6067], [0.2500, 0.3350, 0.4335], [0.7500, 0.6650, 0.5665], [0.2500, 0.8350, 0.0665], [0.7500, 0.1650, 0.9335], [0.2500, 0.4576, 0.7893], [0.7500, 0.5424, 0.2107], [0.2500, 0.9576, 0.7107], [0.7500, 0.0424, 0.2893]],
  "rho_g_cm3": 10.97,
  "spacegroup": "Pnma (62)",
  "formation_energy_ev_per_atom": -0.67
}

=====

Record 11
{
  "formula": "BaTaAl2Co",
  "functional": "GGA-PBEsol",
  "state": "relaxed",
  "cell": [[-4.4571, 0.5175, 1.0973], [-0.1129, -4.3368, 1.5866], [1.3480, 1.6785, 4.6841]],
  "species": ["Al", "Al", "Co", "Ba", "Ta"],
  "frac_coords": [[0.0000, 0.5000, 0.0000], [0.5000, 0.0000, 0.0000], [0.0000, 0.0000, 0.0000], [0.0000, 0.0000, 0.5000], [0.5000, 0.5000, 0.5000]],
  "rho_g_cm3": 6.51,
  "spacegroup": "P4/mmm (123)",
  "formation_energy_ev_per_atom": 0.95
}

=====

Record 12
{
  "formula": "LiInHg2",
  "functional": "GGA-PBEsol",
  "state": "relaxed",
  "cell": [[4.9284, 0.0000, 0.0000], [2.4642, 4.2681, 0.0000], [2.4642, 1.4227, 4.0240]],
  "species": ["In", "Hg", "Hg", "Li"],
  "frac_coords": [[0.5000, 0.5000, 0.5000], [0.0000, 0.0000, 0.0000], [0.2500, 0.2500, 0.2500], [0.7500, 0.7500, 0.7500]],
  "rho_g_cm3": 10.26,
  "spacegroup": "F-43m (216)",
  "formation_energy_ev_per_atom": -0.19
}